CsZrGeTe3, optimized geometry, DFT PBE-GGA; crystal system = orthorhombic
1.0
2.1451 -8.5256 0.0000
2.1451 8.5256 0.0000
0.0000 0.0000 12.0694
Te Cs Ge Zr
6 2 2 2
Cartesian
2.1451 -2.0376 11.9099
2.1451 2.0376 5.8752
2.1451 2.0376 0.1595
2.1451 -2.0376 6.1941
2.1451 -8.1237 9.0520
2.1451 8.1237 3.0173
2.1451 4.2525 9.0520
2.1451 -4.2525 3.0173
2.1451 1.3132 3.0173
2.1451 -1.3132 9.0520
0.0000 0.0000 0.0000
0.0000 0.0000 6.0347

---

CsTmGe, optimized geometry, DFT PBE-GGA; crystal system = cubic
1.0
2.6251 1.5156 4.2868
-2.6251 1.5156 4.2868
0.0000 -3.0312 4.2868
Cs Ge Tm
1 1 1
Cartesian
0.0000 0.0000 0.0000
0.0000 0.0000 9.6453
0.0000 0.0000 3.2151

---

Cs2TmGe4, optimized geometry, DFT PBE-GGA; crystal system = trigonal
1.0
4.4342 0.0000 0.0000
-2.2171 3.8402 0.0000
0.0000 0.0000 15.7253
Cs Ge Tm
2 4 1
Cartesian
0.0000 2.5601 3.2403
2.2171 1.2800 12.4850
0.0000 2.5601 15.2753
0.0000 2.5601 6.8013
2.2171 1.2800 0.4500
2.2171 1.2800 8.9240
0.0000 0.0000 7.8626

---

CsTmGe, optimized geometry, DFT PBE-GGA; crystal system = cubic
1.0
-4.7032 1.9716 1.7779
-1.3421 5.1281 -1.0342
-3.9627 1.1009 -3.5005
Cs Ge Tm
1 1 1
Cartesian
-2.5020 2.0501 -0.6892
0.0000 0.0000 0.0000
-7.5060 6.1504 -2.0676

---

Number 1: spin magnetization 0.5 μB per formula unit, DFT total energy -0.165 Ha/atom. Number 2: spin magnetization 0.0 μB per formula unit, DFT total energy -0.086 Ha/atom. Number 3: spin magnetization 0.8 μB per formula unit, DFT total energy -0.126 Ha/atom. Number 4: spin magnetization 0.0 μB per formula unit, DFT total energy -0.109 Ha/atom.